Here is a geometry-optimized LiVF6 structure from Alexandria. Energies are from GGA+U.

a b c (Å): 9.883 8.851 5.000
angles (deg): 90.00 90.00 90.00
Positions (direct):
Li 0.134 0.127 0.000
Li 0.366 0.627 0.500
Li 0.634 0.373 0.000
Li 0.866 0.873 0.500
V 0.117 0.752 0.988
V 0.383 0.252 0.488
V 0.617 0.748 0.988
V 0.883 0.248 0.488
F 0.009 0.236 0.754
F 0.015 0.880 0.780
F 0.034 0.594 0.846
F 0.196 0.924 0.121
F 0.224 0.637 0.199
F 0.246 0.748 0.727
F 0.254 0.248 0.227
F 0.276 0.137 0.699
F 0.304 0.424 0.621
F 0.466 0.094 0.346
F 0.485 0.380 0.280
F 0.491 0.736 0.254
F 0.509 0.264 0.754
F 0.515 0.620 0.780
F 0.534 0.906 0.846
F 0.696 0.576 0.121
F 0.724 0.863 0.199
F 0.746 0.752 0.727
F 0.754 0.252 0.227
F 0.776 0.363 0.699
F 0.804 0.076 0.621
F 0.966 0.406 0.346
F 0.985 0.120 0.280
F 0.991 0.764 0.254

Properties
calculated density	2.61	Mg/m³
magnetization	0.00	Bohr magnetons per cell
crystal system	orthorhombic
final energy	-41.67	eV/f.u.
SG	Pna2_1 (33)